Record 1
An optimized crystal structure of Mg7Se5, computed with PBE.

a = 9.0148 Å, b = 9.0148 Å, c = 7.0876 Å
α = 90.00°, β = 90.00°, γ = 90.00°
Space group I4mm (No. 107)
One atom of each set of equivalent atoms:
Mg1 0.0000 0.0000 0.0000 [2 per cell]
Mg2 0.0000 0.2450 0.4090 [8 per cell]
Mg3 0.0000 0.5000 0.1591 [4 per cell]
Se1 0.0000 0.0000 0.6086 [2 per cell]
Se2 0.2024 0.2024 0.1349 [8 per cell]

Total moment, μB/atom: 0.00
Formation energy without anion corrections, eV/atom: -0.674

---

Record 2
An optimized crystal structure of Zr2MnAu, computed with PBE.

a = 4.6563 Å, b = 4.6563 Å, c = 3.3904 Å
α = 90.00°, β = 90.00°, γ = 90.00°
Space group P4/mmm (No. 123)
One atom of each set of equivalent atoms:
Zr1 0.0000 0.5000 0.0000 [2 per cell]
Mn1 0.0000 0.0000 0.5000 [1 per cell]
Au1 0.5000 0.5000 0.5000 [1 per cell]

E_form, kJ per mole of atoms: -17.18
Total moment, μB/atom: 0.04

---

Record 3
An optimized crystal structure of TaMnS3, computed with PBE.

a = 4.3789 Å, b = 4.3789 Å, c = 4.3789 Å
α = 90.00°, β = 90.00°, γ = 90.00°
Space group Pm-3m (No. 221)
One atom of each set of equivalent atoms:
Ta1 0.0000 0.0000 0.0000 [1 per cell]
Mn1 0.5000 0.5000 0.5000 [1 per cell]
S1 0.0000 0.5000 0.5000 [3 per cell]

Total moment, μB/atom: 0.63
Formation energy without anion corrections, eV/atom: 0.458

---

Record 4
An optimized crystal structure of PmSnBi2O6, computed with PBE.

a = 6.1566 Å, b = 6.1566 Å, c = 14.7497 Å
α = 90.00°, β = 90.00°, γ = 120.00°
Space group R3 (No. 146, hexagonal axes)
One atom of each set of equivalent atoms:
Pm1 0.0000 0.0000 0.0000 [3 per cell]
Sn1 0.0000 0.0000 0.5058 [3 per cell]
Bi1 0.0000 0.0000 0.2249 [3 per cell]
Bi2 0.0000 0.0000 0.7245 [3 per cell]
O1 0.0198 0.2836 0.1202 [9 per cell]
O2 0.0323 0.7537 0.6123 [9 per cell]

Total moment, μB/atom: 0.10
Formation energy without anion corrections, eV/atom: -1.708

---

Record 5
An optimized crystal structure of Nd2Cu3Si, computed with PBE.

a = 3.8576 Å, b = 4.1918 Å, c = 7.4950 Å
α = 90.00°, β = 90.00°, γ = 90.00°
Space group Pmm2 (No. 25)
One atom of each set of equivalent atoms:
Nd1 0.0000 0.0000 0.0000 [1 per cell]
Nd2 0.0000 0.5000 0.4973 [1 per cell]
Cu1 0.5000 0.0000 0.6551 [1 per cell]
Cu2 0.5000 0.5000 0.1734 [1 per cell]
Cu3 0.5000 0.5000 0.8378 [1 per cell]
Si1 0.5000 0.0000 0.3295 [1 per cell]

Total moment, μB/atom: 0.00
Formation energy without anion corrections, eV/atom: -0.368

---

Record 6
An optimized crystal structure of Cs3SmBi2O6, computed with PBE.

a = 6.5246 Å, b = 6.5246 Å, c = 7.9597 Å
α = 90.00°, β = 90.00°, γ = 120.00°
Space group P-3m1 (No. 164)
One atom of each set of equivalent atoms:
Cs1 0.0000 0.0000 0.0000 [1 per cell]
Cs2 0.3333 0.6667 0.6581 [2 per cell]
Sm1 0.0000 0.0000 0.5000 [1 per cell]
Bi1 0.3333 0.6667 0.2040 [2 per cell]
O1 0.1691 0.3383 0.3248 [6 per cell]

Total moment, μB/atom: 0.00
Formation energy without anion corrections, eV/atom: -1.762

---

Record 7
An optimized crystal structure of TbPm2Pr4Sm, computed with PBE.

a = 5.1890 Å, b = 5.2084 Å, c = 10.3306 Å
α = 90.00°, β = 90.13°, γ = 90.00°
Space group P2/m (No. 10)
One atom of each set of equivalent atoms:
Tb1 0.0000 0.0000 0.0000 [1 per cell]
Pm1 0.0000 0.0000 0.5000 [1 per cell]
Pm2 0.5000 0.5000 0.0000 [1 per cell]
Pr1 0.9999 0.5000 0.2491 [2 per cell]
Pr2 0.4997 0.0000 0.2487 [2 per cell]
Sm1 0.5000 0.5000 0.5000 [1 per cell]

E_form, kJ per mole of atoms: 1.19
Total moment, μB/atom: 0.00

---

Record 8
An optimized crystal structure of Na2Sr6ZnN, computed with PBE.

a = 11.6728 Å, b = 11.6854 Å, c = 8.2580 Å
α = 90.00°, β = 134.95°, γ = 90.00°
Space group C2/m (No. 12)
One atom of each set of equivalent atoms:
Na1 0.0000 0.2501 0.0000 [4 per cell]
Sr1 0.0000 0.2295 0.5000 [4 per cell]
Sr2 0.2286 0.0000 0.4988 [4 per cell]
Sr3 0.2295 0.0000 0.9585 [4 per cell]
Zn1 0.0000 0.5000 0.5000 [2 per cell]
N1 0.0000 0.0000 0.5000 [2 per cell]

Total moment, μB/atom: 0.00
Formation energy without anion corrections, eV/atom: -0.137

---

Record 9
An optimized crystal structure of SiSe, computed with PBE.

a = 6.1630 Å, b = 6.1630 Å, c = 6.1630 Å
α = 90.00°, β = 90.00°, γ = 90.00°
Space group F-43m (No. 216)
One atom of each set of equivalent atoms:
Si1 0.0000 0.0000 0.0000 [4 per cell]
Se1 0.2500 0.2500 0.7500 [4 per cell]

Total moment, μB/atom: 0.00
Formation energy without anion corrections, eV/atom: 0.405

---

Record 10
An optimized crystal structure of CeI3Br, computed with PBE.

a = 4.5698 Å, b = 11.5426 Å, c = 9.6853 Å
α = 90.00°, β = 103.61°, γ = 90.00°
Space group P2_1/m (No. 11)
One atom of each set of equivalent atoms:
Ce1 0.1182 0.2500 0.2385 [2 per cell]
I1 0.0374 0.7500 0.0736 [2 per cell]
I2 0.3829 0.5665 0.7639 [4 per cell]
Br1 0.2602 0.2500 0.5230 [2 per cell]

Total moment, μB/atom: 0.00
Formation energy without anion corrections, eV/atom: -1.200

---

Record 11
An optimized crystal structure of Mg2ZnW, computed with PBE.

a = 3.5258 Å, b = 4.3596 Å, c = 9.1329 Å
α = 90.00°, β = 90.00°, γ = 90.00°
Space group Cmm2 (No. 35)
One atom of each set of equivalent atoms:
Mg1 0.0000 0.0000 0.0000 [2 per cell]
Mg2 0.0000 0.5000 0.2879 [2 per cell]
Zn1 0.0000 0.0000 0.5293 [2 per cell]
W1 0.0000 0.5000 0.7551 [2 per cell]

E_form, kJ per mole of atoms: 22.72
Total moment, μB/atom: 0.00

---

Record 12
An optimized crystal structure of Rb4Ac3HfO8, computed with PBE.

a = 7.5089 Å, b = 7.5089 Å, c = 20.1483 Å
α = 90.00°, β = 90.00°, γ = 120.00°
Space group R-3m (No. 166, hexagonal axes)
One atom of each set of equivalent atoms:
Rb1 0.0000 0.0000 0.0000 [3 per cell]
Rb2 0.0000 0.5000 0.0000 [9 per cell]
Ac1 0.0000 0.5000 0.5000 [9 per cell]
Hf1 0.0000 0.0000 0.5000 [3 per cell]
O1 0.0000 0.0000 0.2296 [6 per cell]
O2 0.0491 0.5246 0.2225 [18 per cell]

Total moment, μB/atom: 0.03
Formation energy without anion corrections, eV/atom: -2.468